(1)
{"formula": "Be15Co2Os2", "functional": "PBE", "state": "relaxed", "lattice": [[5.500, 0.034, 0.030], [0.747, 5.449, 0.030], [0.747, 0.656, 5.409]], "species": ["Be", "Be", "Be", "Be", "Be", "Be", "Be", "Be", "Be", "Be", "Be", "Be", "Be", "Be", "Be", "Co", "Co", "Os", "Os"], "fractional_positions": [[0.500, 0.000, 0.000], [0.000, 0.000, 0.500], [0.000, 0.500, 0.000], [0.000, 0.699, 0.301], [0.699, 0.301, 0.000], [0.301, 0.000, 0.699], [0.301, 0.699, 0.000], [0.699, 0.000, 0.301], [0.000, 0.301, 0.699], [0.161, 0.650, 0.650], [0.650, 0.650, 0.161], [0.650, 0.161, 0.650], [0.839, 0.350, 0.350], [0.350, 0.350, 0.839], [0.350, 0.839, 0.350], [0.102, 0.102, 0.102], [0.898, 0.898, 0.898], [0.352, 0.352, 0.352], [0.648, 0.648, 0.648]], "dos_ef_per_ev_atom": 0.4776, "volume_a3_per_atom": 8.513, "e_tot_ev_per_atom": -5.0541, "formation_energy_ev_per_atom": -0.18}

=====

(2)
{"formula": "Na4Tl2InHg2", "functional": "PBE", "state": "relaxed", "lattice": [[-3.163, 4.611, -2.121], [-0.748, -1.319, -7.568], [-1.286, -7.337, 4.167]], "species": ["Na", "Na", "Na", "Na", "Tl", "Tl", "In", "Hg", "Hg"], "fractional_positions": [[0.472, 0.772, 0.897], [0.640, 0.671, 0.330], [0.528, 0.228, 0.103], [0.360, 0.329, 0.670], [0.224, 0.883, 0.445], [0.776, 0.117, 0.555], [0.000, 0.000, 0.000], [0.084, 0.443, 0.215], [0.916, 0.557, 0.785]], "dos_ef_per_ev_atom": 0.3859, "volume_a3_per_atom": 27.141, "e_tot_ev_per_atom": -1.6272, "formation_energy_ev_per_atom": -0.14}

=====

(3)
{"formula": "Ba2TcAg", "functional": "PBE", "state": "relaxed", "lattice": [[-6.298, 0.916, -0.133], [-2.990, -2.110, -5.208], [4.175, -2.408, 4.157]], "species": ["Ag", "Ba", "Ba", "Tc"], "fractional_positions": [[0.750, 0.250, 0.500], [0.000, 0.000, 0.000], [0.250, 0.750, 0.500], [0.500, 0.500, 0.000]], "dos_ef_per_ev_atom": 1.3050, "volume_a3_per_atom": 30.894, "e_tot_ev_per_atom": -3.5381, "formation_energy_ev_per_atom": 0.73}

=====

(4)
{"formula": "RbDyCd2Cl8", "functional": "PBE", "state": "relaxed", "lattice": [[-6.055, -1.388, -2.229], [0.045, -6.608, 0.211], [-4.437, -1.663, 7.923]], "species": ["Rb", "Dy", "Cd", "Cd", "Cl", "Cl", "Cl", "Cl", "Cl", "Cl", "Cl", "Cl"], "fractional_positions": [[0.000, 0.000, 0.500], [0.000, 0.000, 0.000], [0.453, 0.445, 0.720], [0.547, 0.555, 0.280], [0.176, 0.738, 0.219], [0.721, 0.751, 0.030], [0.761, 0.199, 0.210], [0.824, 0.262, 0.781], [0.279, 0.249, 0.970], [0.239, 0.801, 0.790], [0.653, 0.688, 0.490], [0.347, 0.312, 0.510]], "dos_ef_per_ev_atom": 0.0000, "raw_formation_energy_kj_per_mol_atoms": -154.7, "volume_a3_per_atom": 31.852, "e_tot_ev_per_atom": -3.4513}

=====

(5)
{"formula": "Tc2SbBr", "functional": "PBE", "state": "relaxed", "lattice": [[-1.638, -4.052, -1.431], [-3.673, -0.149, -2.764], [0.482, -1.250, -4.400]], "species": ["Sb", "Tc", "Tc", "Br"], "fractional_positions": [[0.500, 0.500, 0.500], [0.250, 0.250, 0.250], [0.750, 0.750, 0.750], [0.000, 0.000, 0.000]], "dos_ef_per_ev_atom": 1.1631, "raw_formation_energy_kj_per_mol_atoms": 64.5, "volume_a3_per_atom": 17.197, "e_tot_ev_per_atom": -5.9636}

=====

(6)
{"formula": "CaRuW2", "functional": "PBE", "state": "relaxed", "lattice": [[-1.718, -1.075, -1.926], [0.047, -4.057, 2.223], [-4.255, 1.555, 2.927]], "species": ["Ru", "Ca", "W", "W"], "fractional_positions": [[0.500, 0.500, 0.750], [0.500, 0.500, 0.250], [0.000, 0.000, 0.989], [0.000, 0.000, 0.511]], "dos_ef_per_ev_atom": 0.8666, "volume_a3_per_atom": 17.437, "e_tot_ev_per_atom": -8.5085, "formation_energy_ev_per_atom": 0.79}

=====

(7)
{"formula": "KHf2Se4", "functional": "PBE", "state": "relaxed", "lattice": [[3.733, 0.000, -0.747], [-0.373, 6.202, -1.864], [-0.149, -0.510, 8.956]], "species": ["K", "Hf", "Hf", "Se", "Se", "Se", "Se"], "fractional_positions": [[0.500, 0.500, 0.000], [0.249, 0.243, 0.497], [0.751, 0.757, 0.503], [0.652, 0.993, 0.303], [0.348, 0.007, 0.697], [0.154, 0.495, 0.308], [0.846, 0.505, 0.692]], "dos_ef_per_ev_atom": 0.4187, "raw_formation_energy_kj_per_mol_atoms": -133.2, "volume_a3_per_atom": 28.999, "e_tot_ev_per_atom": -6.3720}

=====

(8)
{"formula": "Hf4InSn", "functional": "PBE", "state": "relaxed", "lattice": [[-2.046, 0.590, -3.859], [0.592, -4.279, -0.968], [-4.982, -1.794, 4.883]], "species": ["Hf", "Hf", "Hf", "Hf", "In", "Sn"], "fractional_positions": [[0.329, 0.000, 0.658], [0.671, 0.000, 0.342], [0.828, 0.500, 0.657], [0.172, 0.500, 0.343], [0.000, 0.000, 0.000], [0.500, 0.500, 0.000]], "dos_ef_per_ev_atom": 0.8157, "volume_a3_per_atom": 22.300, "e_tot_ev_per_atom": -7.9536, "formation_energy_ev_per_atom": -0.19}